# 1
{
  "formula": "Ge3Te2Se",
  "functional": "GGA-PBE",
  "state": "optimized geometry",
  "e_above_lowest_polymorph_kcal_per_mol_atoms": 0.00,
  "formation_energy_uncorrected_ev_per_fu": -0.7,
  "final_energy_ev_per_atom": -4.050,
  "cell": [[4.176, 0.000, 0.000], [0.000, 12.508, 0.000], [0.000, 0.000, 6.003]],
  "species": ["Ge", "Ge", "Ge", "Ge", "Ge", "Ge", "Te", "Te", "Te", "Te", "Se", "Se"],
  "fractional_positions": [[0.250, 0.091, 0.232], [0.250, 0.409, 0.232], [0.250, 0.750, 0.201], [0.750, 0.250, 0.799], [0.750, 0.591, 0.768], [0.750, 0.909, 0.768], [0.250, 0.079, 0.748], [0.250, 0.421, 0.748], [0.750, 0.579, 0.252], [0.750, 0.921, 0.252], [0.250, 0.750, 0.771], [0.750, 0.250, 0.229]]
}

# 2
{
  "formula": "GeTeSe2",
  "functional": "GGA-PBE",
  "state": "optimized geometry",
  "n_ef_per_ev_atom": 0.1890,
  "e_above_lowest_polymorph_kcal_per_mol_atoms": 0.00,
  "formation_energy_uncorrected_ev_per_fu": -0.2,
  "final_energy_ev_per_atom": -3.743,
  "cell": [[8.331, 0.000, 0.000], [0.000, 10.233, 0.000], [0.000, 0.000, 5.957]],
  "species": ["Ge", "Ge", "Ge", "Ge", "Te", "Te", "Te", "Te", "Se", "Se", "Se", "Se", "Se", "Se", "Se", "Se"],
  "fractional_positions": [[0.041, 0.108, 0.000], [0.459, 0.608, 0.500], [0.541, 0.392, 0.000], [0.959, 0.892, 0.500], [0.030, 0.470, 0.084], [0.470, 0.970, 0.584], [0.530, 0.030, 0.084], [0.970, 0.530, 0.584], [0.072, 0.106, 0.590], [0.175, 0.720, 0.599], [0.325, 0.220, 0.099], [0.428, 0.606, 0.090], [0.572, 0.394, 0.590], [0.675, 0.780, 0.599], [0.825, 0.280, 0.099], [0.928, 0.894, 0.090]]
}

# 3
{
  "formula": "GeTe2Se",
  "functional": "GGA-PBE",
  "state": "optimized geometry",
  "n_ef_per_ev_atom": 0.6265,
  "e_above_lowest_polymorph_kcal_per_mol_atoms": 1.37,
  "formation_energy_uncorrected_ev_per_fu": 0.9,
  "final_energy_ev_per_atom": -3.359,
  "cell": [[-3.740, 3.740, 4.424], [3.740, -3.740, 4.424], [3.740, 3.740, -4.424]],
  "species": ["Ge", "Ge", "Te", "Te", "Te", "Te", "Se", "Se"],
  "fractional_positions": [[0.000, 0.000, 0.000], [0.750, 0.250, 0.500], [0.110, 0.625, 0.985], [0.375, 0.360, 0.485], [0.640, 0.125, 0.015], [0.875, 0.890, 0.515], [0.250, 0.750, 0.500], [0.500, 0.500, 0.000]]
}

# 4
{
  "formula": "GeTeSe3",
  "functional": "GGA-PBE",
  "state": "optimized geometry",
  "n_ef_per_ev_atom": 1.0290,
  "e_above_lowest_polymorph_kcal_per_mol_atoms": 0.00,
  "formation_energy_uncorrected_ev_per_fu": 2.1,
  "final_energy_ev_per_atom": -3.222,
  "cell": [[5.006, 0.000, 0.000], [0.000, 5.006, 0.000], [0.000, 0.000, 5.006]],
  "species": ["Ge", "Te", "Se", "Se", "Se"],
  "fractional_positions": [[0.000, 0.000, 0.000], [0.500, 0.500, 0.500], [0.000, 0.000, 0.500], [0.000, 0.500, 0.000], [0.500, 0.000, 0.000]]
}

# 5
{
  "formula": "GeTeSe2",
  "functional": "GGA-PBE",
  "state": "optimized geometry",
  "n_ef_per_ev_atom": 0.5321,
  "e_above_lowest_polymorph_kcal_per_mol_atoms": 9.43,
  "formation_energy_uncorrected_ev_per_fu": 1.4,
  "final_energy_ev_per_atom": -3.334,
  "cell": [[1.866, 1.078, 9.107], [-1.866, 1.078, 9.107], [0.000, -2.155, 9.107]],
  "species": ["Ge", "Te", "Se", "Se"],
  "fractional_positions": [[0.000, 0.000, 0.000], [0.500, 0.500, 0.500], [0.095, 0.095, 0.095], [0.905, 0.905, 0.905]]
}

# 6
{
  "formula": "Ge2TeSe2",
  "functional": "GGA-PBE",
  "state": "optimized geometry",
  "n_ef_per_ev_atom": 0.5879,
  "e_above_lowest_polymorph_kcal_per_mol_atoms": 5.23,
  "formation_energy_uncorrected_ev_per_fu": 0.6,
  "final_energy_ev_per_atom": -3.745,
  "cell": [[-2.466, 2.466, 4.858], [2.466, -2.466, 4.858], [2.466, 2.466, -4.858]],
  "species": ["Ge", "Ge", "Te", "Se", "Se"],
  "fractional_positions": [[0.139, 0.139, 0.000], [0.861, 0.861, 0.000], [0.500, 0.500, 0.000], [0.250, 0.750, 0.500], [0.750, 0.250, 0.500]]
}